Entry 1:
Below is an optimized crystal structure of ReHg2, with properties calculated at the GGA-PBE level.

Unit cell a=11.8799 b=11.8799 c=11.8799 alpha=90.00 beta=90.00 gamma=90.00
Space group Fd-3m (No. 227, origin choice 2)
One atom of each set of equivalent atoms:
Re  0.1250  0.1250  0.1250 x8
Hg  0.0000  0.0000  0.0000 x16

For the total moment, the calculation gives 0.5 μB/f.u. The energy relative to the elements comes out at 182.7 kJ/mol of atoms.



Entry 2:
Below is an optimized crystal structure of SmFeSi2Au, with properties calculated at the GGA-PBE level.

Unit cell a=4.1452 b=4.1452 c=10.1027 alpha=90.00 beta=90.00 gamma=90.00
Space group I-4m2 (No. 119)
One atom of each set of equivalent atoms:
Sm  0.0000  0.0000  0.0000 x2
Fe  0.0000  0.5000  0.7500 x2
Si  0.0000  0.0000  0.3813 x4
Au  0.0000  0.5000  0.2500 x2

For the total moment, the calculation gives 1.9 μB/f.u. The total energy comes out at -5.99 eV/atom.



Entry 3:
Below is an optimized crystal structure of Ho3Mg3AgHgPd, with properties calculated at the GGA-PBE level.

Unit cell a=7.7867 b=7.7867 c=3.9634 alpha=90.00 beta=90.00 gamma=120.00
Space group P-6 (No. 174)
One atom of each set of equivalent atoms:
Ho  0.0238  0.4252  0.0000 x3
Mg  0.2519  0.2494  0.5000 x3
Ag  0.0000  0.0000  0.0000 x1
Hg  0.6667  0.3333  0.5000 x1
Pd  0.3333  0.6667  0.5000 x1

For the total moment, the calculation gives 0.0 μB/f.u. The total energy comes out at -3.43 eV/atom.